The following is a GGA+U calculation of an optimized crystal structure of Rb2ScCoF6, from Alexandria via LeMat-Bulk.

Geometry as POSCAR:
```
Rb2ScCoF6
1.0
6.094 0.000 0.000
0.000 6.094 0.000
3.047 3.047 4.297
Sc Co Rb F
1 1 2 6
Direct
0.500 0.500 0.000 Sc
0.000 0.000 0.000 Co
0.750 0.250 0.500 Rb
0.250 0.750 0.500 Rb
0.262 0.262 0.476 F
0.738 0.738 0.524 F
0.263 0.263 0.000 F
0.737 0.737 0.000 F
0.737 0.263 0.000 F
0.263 0.737 0.000 F
```

Output
* volume: 15.96 Å³ per atom
* DFT total energy: -5.38 eV/atom
* spin magnetization: 2.0 μB per formula unit